## CsRb3Bi (GGA-PBE)

Data for CsRb3Bi after structural relaxation.

```
CsRb3Bi
1.0
-3.887 -9.493 1.215
-2.862 -1.262 -11.282
10.460 -5.258 0.126
Cs Rb Bi
4 12 4
Direct
0.250 0.999 0.001
0.750 0.001 0.999
0.250 0.407 0.593
0.750 0.593 0.407
0.597 0.640 0.027
0.903 0.973 0.360
0.403 0.360 0.973
0.097 0.027 0.640
0.891 0.341 0.882
0.609 0.118 0.659
0.109 0.659 0.118
0.391 0.882 0.341
0.413 0.711 0.640
0.087 0.360 0.289
0.587 0.289 0.360
0.913 0.640 0.711
0.623 0.446 0.706
0.877 0.294 0.554
0.377 0.554 0.294
0.123 0.706 0.446
```

Summary:
- ΔE to the lowest computed polymorph (meV per atom) = 48
- SG = C2/c (15)
- crystal system = monoclinic

---

## Cs5RbBi2 (GGA-PBE)

Data for Cs5RbBi2 after structural relaxation.

```
Cs5RbBi2
1.0
6.407 0.000 2.028
2.883 5.722 2.028
-0.665 -0.410 13.238
Cs Rb Bi
5 1 2
Direct
0.500 0.500 0.500
0.393 0.393 0.822
0.607 0.607 0.178
0.211 0.211 0.366
0.789 0.789 0.634
0.000 0.000 0.000
0.099 0.099 0.704
0.901 0.901 0.296
```

Summary:
- SG = R-3m (166)
- uncorrected energy (eV/atom) = -1.917
- crystal system = trigonal

---

## Cs2RbBi (GGA-PBE)

Data for Cs2RbBi after structural relaxation.

```
Cs2RbBi
1.0
-2.731 8.544 0.787
-10.848 -3.340 -1.377
4.465 0.325 11.964
Cs Rb Bi
8 4 4
Direct
0.750 0.087 0.178
0.250 0.413 0.822
0.250 0.913 0.822
0.750 0.587 0.178
0.695 0.635 0.768
0.195 0.865 0.232
0.305 0.365 0.232
0.805 0.135 0.768
0.500 0.200 0.500
0.000 0.300 0.500
0.500 0.800 0.500
0.000 0.700 0.500
0.653 0.461 0.422
0.153 0.039 0.578
0.347 0.539 0.578
0.847 0.961 0.422
```

Summary:
- SG = P2_1/c (14)
- uncorrected energy (eV/atom) = -1.886
- crystal system = monoclinic

---

## CsRbBi (GGA-PBE)

Data for CsRbBi after structural relaxation.

```
CsRbBi
1.0
-5.937 -0.027 -2.684
1.653 -4.615 4.293
0.460 6.522 6.834
Cs Rb Bi
2 2 2
Direct
0.723 0.555 0.278
0.032 0.709 0.740
0.171 0.278 0.449
0.856 0.122 0.978
0.318 0.852 0.170
0.561 0.974 0.535
```

Summary:
- ΔE to the lowest computed polymorph (meV per atom) = 0
- SG = R3m (160)
- crystal system = trigonal

---

## CsRbBi2 (GGA-PBE)

Data for CsRbBi2 after structural relaxation.

```
CsRbBi2
1.0
-0.221 -7.200 2.601
0.867 -2.821 -7.735
11.302 0.097 1.231
Cs Rb Bi
4 4 8
Direct
0.750 0.009 0.288
0.750 0.509 0.212
0.250 0.991 0.712
0.250 0.491 0.788
0.750 0.996 0.723
0.750 0.496 0.777
0.250 0.004 0.277
0.250 0.504 0.223
0.960 0.682 0.502
0.540 0.182 0.998
0.460 0.318 0.498
0.040 0.818 0.002
0.040 0.318 0.498
0.460 0.818 0.002
0.540 0.682 0.502
0.960 0.182 0.998
```

Summary:
- ΔE to the lowest computed polymorph (meV per atom) = 27
- SG = Pnma (62)
- crystal system = orthorhombic

---

## CsRb2Bi (GGA-PBE)

Data for CsRb2Bi after structural relaxation.

```
CsRb2Bi
1.0
-3.290 3.214 -1.559
-2.727 -3.629 -1.727
-5.087 -0.649 9.399
Cs Bi Rb
1 1 2
Direct
0.500 0.500 0.500
0.500 0.500 0.000
0.000 0.000 0.829
0.000 0.000 0.171
```

Summary:
- SG = P4/mmm (123)
- uncorrected energy (eV/atom) = -1.766
- crystal system = tetragonal

---

## CsRbBiRu2 (GGA-PBE)

Data for CsRbBiRu2 after structural relaxation.

```
CsRbBiRu2
1.0
5.198 0.000 0.000
0.000 6.738 0.000
0.000 0.000 5.198
Cs Ru Bi Rb
1 2 1 1
Direct
0.000 0.500 0.000
0.000 0.000 0.500
0.500 0.000 0.000
0.000 0.000 0.000
0.500 0.500 0.500
```

Summary:
- SG = P4/mmm (123)
- uncorrected energy (eV/atom) = -3.665
- crystal system = tetragonal

---

## CsRbSn2Bi (GGA-PBE)

Data for CsRbSn2Bi after structural relaxation.

```
CsRbSn2Bi
1.0
-0.439 -4.749 -4.021
-2.055 -3.802 4.716
-5.891 1.615 -1.265
Cs Bi Rb Sn
1 1 1 2
Direct
0.000 0.500 0.000
0.500 0.500 0.500
0.000 0.000 0.000
0.000 0.000 0.500
0.500 0.000 0.000
```

Summary:
- SG = P4/mmm (123)
- uncorrected energy (eV/atom) = -1.882
- crystal system = tetragonal

---

## Cs4Rb2SnBi2 (GGA-PBE)

Data for Cs4Rb2SnBi2 after structural relaxation.

```
Cs4Rb2SnBi2
1.0
5.987 0.586 0.399
2.049 9.912 0.025
2.049 3.663 9.211
Cs Rb Sn Bi
4 2 1 2
Direct
0.130 0.671 0.069
0.870 0.931 0.329
0.870 0.329 0.931
0.130 0.069 0.671
0.355 0.644 0.644
0.645 0.356 0.356
0.500 0.000 0.000
0.292 0.208 0.208
0.708 0.792 0.792
```

Summary:
- SG = C2/m (12)
- uncorrected energy (eV/atom) = -2.074
- crystal system = monoclinic

---

## CsRbTl2Bi (GGA-PBE)

Data for CsRbTl2Bi after structural relaxation.

```
CsRbTl2Bi
1.0
-3.532 5.161 -0.851
-3.802 -2.220 2.311
6.045 1.230 5.776
Cs Rb Tl Bi
1 1 2 1
Direct
0.454 0.454 0.909
0.208 0.708 0.416
0.690 0.190 0.380
0.031 0.031 0.063
0.828 0.828 0.657
```

Summary:
- SG = Imm2 (44)
- uncorrected energy (eV/atom) = -2.231
- crystal system = orthorhombic

---

## CsRb2Tl2Bi2 (GGA-PBE)

Data for CsRb2Tl2Bi2 after structural relaxation.

```
CsRb2Tl2Bi2
1.0
-0.376 -3.344 -4.038
1.739 -2.987 5.733
-10.425 1.523 -0.290
Cs Rb Tl Bi
1 2 2 2
Direct
0.000 0.000 0.000
0.107 0.213 0.387
0.893 0.787 0.613
0.640 0.280 0.858
0.360 0.720 0.142
0.745 0.490 0.215
0.255 0.510 0.785
```

Summary:
- SG = C2/m (12)
- uncorrected energy (eV/atom) = -2.423
- crystal system = monoclinic

---

## Cs2Rb2TlBi2 (GGA-PBE)

Data for Cs2Rb2TlBi2 after structural relaxation.

```
Cs2Rb2TlBi2
1.0
-5.554 -0.333 2.708
-3.406 -8.819 -0.999
0.316 -0.868 7.610
Cs Rb Tl Bi
2 2 1 2
Direct
0.155 0.179 0.511
0.845 0.821 0.489
0.287 0.581 0.845
0.713 0.419 0.155
0.000 0.000 0.000
0.450 0.166 0.933
0.550 0.834 0.067
```

Summary:
- SG = C2/m (12)
- uncorrected energy (eV/atom) = -2.159
- crystal system = monoclinic

---

## Cs2RbTlBi2 (GGA-PBE)

Data for Cs2RbTlBi2 after structural relaxation.

```
Cs2RbTlBi2
1.0
-5.659 6.458 -2.475
-2.902 0.348 7.544
10.118 2.468 -0.561
Cs Rb Tl Bi
4 2 2 4
Direct
0.460 0.170 0.341
0.540 0.830 0.659
0.119 0.330 0.659
0.881 0.670 0.341
0.000 0.750 0.000
0.000 0.250 0.000
0.500 0.750 0.000
0.500 0.250 0.000
0.792 0.096 0.192
0.400 0.596 0.192
0.600 0.404 0.808
0.208 0.904 0.808
```

Summary:
- SG = Ibam (72)
- uncorrected energy (eV/atom) = -2.447
- crystal system = orthorhombic

---

## CsRbTl2Bi2 (GGA-PBE)

Data for CsRbTl2Bi2 after structural relaxation.

```
CsRbTl2Bi2
1.0
5.424 0.000 0.000
-2.712 4.698 0.000
0.000 0.000 11.086
Cs Rb Tl Bi
1 1 2 2
Direct
0.000 0.000 0.000
0.000 0.000 0.500
0.667 0.333 0.735
0.333 0.667 0.265
0.667 0.333 0.262
0.333 0.667 0.738
```

Summary:
- SG = P-3m1 (164)
- uncorrected energy (eV/atom) = -2.584
- crystal system = trigonal

---

## CsRbTlBi2 (GGA-PBE)

Data for CsRbTlBi2 after structural relaxation.

```
CsRbTlBi2
1.0
4.660 0.000 0.000
0.000 6.345 0.000
-2.330 -3.173 7.630
Cs Rb Tl Bi
1 1 1 2
Direct
0.433 0.433 0.866
0.173 0.673 0.346
0.851 0.851 0.701
0.698 0.198 0.395
0.058 0.058 0.116
```

Summary:
- SG = Imm2 (44)
- uncorrected energy (eV/atom) = -2.580
- crystal system = orthorhombic

---

## Cs2Rb4TlBi2 (GGA-PBE)

Data for Cs2Rb4TlBi2 after structural relaxation.

```
Cs2Rb4TlBi2
1.0
0.333 -1.437 5.975
9.653 -2.697 1.959
6.473 6.582 4.367
Cs Rb Tl Bi
2 4 1 2
Direct
0.357 0.642 0.642
0.643 0.358 0.358
0.141 0.656 0.064
0.859 0.936 0.344
0.859 0.344 0.936
0.141 0.064 0.656
0.500 0.000 0.000
0.295 0.205 0.205
0.705 0.795 0.795
```

Summary:
- SG = C2/m (12)
- uncorrected energy (eV/atom) = -1.936
- crystal system = monoclinic

---

## Cs2RbTl4Bi3 (GGA-PBE)

Data for Cs2RbTl4Bi3 after structural relaxation.

```
Cs2RbTl4Bi3
1.0
-5.089 1.989 -0.904
-1.493 -1.494 5.119
4.087 12.681 4.892
Cs Rb Tl Bi
2 1 4 3
Direct
0.500 0.000 0.223
0.000 0.500 0.777
0.500 0.500 0.500
0.500 0.500 0.000
0.000 0.000 0.000
0.500 0.000 0.648
0.000 0.500 0.352
0.000 0.000 0.500
0.500 0.000 0.878
0.000 0.500 0.122
```

Summary:
- SG = P-4m2 (115)
- uncorrected energy (eV/atom) = -2.549
- crystal system = tetragonal

---

## CsRb2ZnBi (GGA-PBE)

Data for CsRb2ZnBi after structural relaxation.

```
CsRb2ZnBi
1.0
-6.705 -0.648 1.380
1.523 -2.613 6.175
-0.047 5.193 2.209
Cs Zn Bi Rb
1 1 1 2
Direct
0.500 0.500 0.500
0.000 0.000 0.000
0.000 0.000 0.500
0.000 0.500 0.000
0.500 0.000 0.000
```

Summary:
- SG = P4/mmm (123)
- uncorrected energy (eV/atom) = -1.657
- crystal system = tetragonal

---

## Cs2Rb4ZnBi2 (GGA-PBE)

Data for Cs2Rb4ZnBi2 after structural relaxation.

```
Cs2Rb4ZnBi2
1.0
-1.971 5.266 -3.732
-8.217 2.366 3.728
-0.446 6.995 6.155
Cs Rb Zn Bi
2 4 1 2
Direct
0.266 0.644 0.644
0.734 0.356 0.356
0.210 0.648 0.099
0.790 0.901 0.352
0.790 0.352 0.901
0.210 0.099 0.648
0.500 0.000 0.000
0.277 0.165 0.165
0.723 0.835 0.835
```

Summary:
- SG = C2/m (12)
- uncorrected energy (eV/atom) = -1.828
- crystal system = monoclinic

---

## Cs4Rb2ZnBi2 (GGA-PBE)

Data for Cs4Rb2ZnBi2 after structural relaxation.

```
Cs4Rb2ZnBi2
1.0
-4.989 -3.078 1.981
4.124 -4.273 7.430
-2.247 5.868 7.141
Cs Rb Zn Bi
4 2 1 2
Direct
0.213 0.659 0.084
0.787 0.916 0.341
0.787 0.341 0.916
0.213 0.084 0.659
0.267 0.640 0.640
0.733 0.360 0.360
0.500 0.000 0.000
0.288 0.174 0.174
0.712 0.826 0.826
```

Summary:
- SG = C2/m (12)
- uncorrected energy (eV/atom) = -1.819
- crystal system = monoclinic

---

## Cs2RbZnBi2 (GGA-PBE)

Data for Cs2RbZnBi2 after structural relaxation.

```
Cs2RbZnBi2
1.0
-6.369 -0.160 -4.319
-4.727 -3.569 7.102
3.654 9.379 1.124
Cs Rb Zn Bi
4 2 2 4
Direct
0.672 0.873 0.344
0.172 0.471 0.344
0.828 0.529 0.656
0.328 0.127 0.656
0.250 0.000 0.000
0.750 0.000 0.000
0.750 0.500 0.000
0.250 0.500 0.000
0.417 0.596 0.833
0.583 0.404 0.167
0.083 0.763 0.167
0.917 0.237 0.833
```

Summary:
- SG = Ibam (72)
- uncorrected energy (eV/atom) = -2.209
- crystal system = orthorhombic

---

## CsReBi2 (GGA-PBE)

Data for CsReBi2 after structural relaxation.

```
CsReBi2
1.0
-2.160 -4.007 2.923
2.825 -2.227 4.040
-1.465 0.882 5.132
Cs Re Bi
1 1 2
Direct
0.000 0.000 0.000
0.500 0.500 0.500
0.250 0.250 0.250
0.750 0.750 0.750
```

Summary:
- SG = Fm-3m (225)
- uncorrected energy (eV/atom) = -4.103
- crystal system = cubic

---

## CsRe3Bi (GGA-PBE)

Data for CsRe3Bi after structural relaxation.

```
CsRe3Bi
1.0
-2.139 -2.300 -3.883
2.892 -3.997 0.774
-3.464 -1.917 3.044
Cs Re Bi
1 3 1
Direct
0.000 0.000 0.000
0.000 0.500 0.000
0.000 0.000 0.500
0.500 0.000 0.000
0.500 0.500 0.500
```

Summary:
- SG = Pm-3m (221)
- uncorrected energy (eV/atom) = -4.582
- crystal system = cubic

---

## CsReBi2Se (GGA-PBE)

Data for CsReBi2Se after structural relaxation.

```
CsReBi2Se
1.0
-1.902 -1.266 -5.587
-3.653 -2.252 1.754
-3.193 5.122 -0.073
Cs Re Bi Se
1 1 2 1
Direct
0.500 0.500 0.500
0.000 0.500 0.000
0.000 0.000 0.500
0.500 0.000 0.000
0.000 0.000 0.000
```

Summary:
- ΔE_f (raw) (kJ/mol of atoms) = 82.0
- SG = P4/mmm (123)
- crystal system = tetragonal

---

no.,Fermi-level density of states (states/eV per cell),calculated density (g/cm³)
1,10.495,2.9
2,7.562,3.9
3,7.666,3.2
4,4.277,4.4
5,9.094,5.9
6,4.301,3.4
7,2.745,5.7
8,5.756,4.4
9,7.237,3.9
10,3.866,6.0
11,3.374,5.9
12,5.473,4.6
13,7.417,5.3
14,1.181,6.1
15,1.464,6.2
16,7.390,3.9
17,4.141,6.9
18,2.482,3.6
19,2.502,3.7
20,2.373,3.6
21,11.777,4.8
22,4.011,10.9
23,5.926,12.0
24,4.490,8.0